VASP calculation (PBE with a Hubbard U) on a geometry-optimized DyNiBO4 structure.

The structure in CIF format:
```
data_DyNiBO4
_symmetry_space_group_name_H-M 'I m m a'
_symmetry_Int_Tables_number 74
_symmetry_space_group_name_Hall '-I 2b 2'
_cell_length_a 5.743
_cell_length_b 6.115
_cell_length_c 8.049
_cell_angle_alpha 90.00
_cell_angle_beta 90.00
_cell_angle_gamma 90.00
loop_
_atom_site_label
_atom_site_type_symbol
_atom_site_fract_x
_atom_site_fract_y
_atom_site_fract_z
Dy1 Dy 0.000 0.000 0.000
Ni1 Ni 0.250 0.250 0.250
B1 B 0.000 0.250 0.613
O1 O 0.000 0.040 0.725
O2 O 0.216 0.250 0.504
```

Properties
As for the raw total energy: -0.5046 Ry per atom. As for the crystal system: orthorhombic.